Compound: YNiP2
Source: the Alexandria database
Functional: GGA-PBEsol
Structure: relaxed

Total energy, eV per atom: -7.05

Geometry as CIF:
```
data_YNiP2
_chemical_formula_sum 'Y1 Ni1 P2'
_space_group_name_H-M_alt 'P m m m'
_space_group_IT_number 47
_cell_length_a 3.665
_cell_length_b 3.790
_cell_length_c 4.870
_cell_angle_alpha 90.00
_cell_angle_beta 90.00
_cell_angle_gamma 90.00
loop_
_space_group_symop_operation_xyz
'x,y,z'
'-x,-y,-z'
'-x,-y,z'
'x,y,-z'
'x,-y,-z'
'-x,y,z'
'-x,y,-z'
'x,-y,z'
loop_
_atom_site_label
_atom_site_type_symbol
_atom_site_fract_x
_atom_site_fract_y
_atom_site_fract_z
Y1 Y 0.000 0.000 0.000
Ni1 Ni 0.000 0.500 0.500
P1 P 0.500 0.500 0.243
```

***

Compound: Y2NiP
Source: the Alexandria database
Functional: GGA-PBEsol
Structure: relaxed

Total energy, eV per atom: -7.20

Geometry as CIF:
```
data_Y2NiP
_chemical_formula_sum 'Y6 Ni3 P3'
_space_group_name_H-M_alt 'R -3 m'
_space_group_IT_number 166
_space_group_name_Hall '-R 3 2"'
_cell_length_a 3.8898
_cell_length_b 3.8898
_cell_length_c 19.6353
_cell_angle_alpha 90.00
_cell_angle_beta 90.00
_cell_angle_gamma 120.00
loop_
_atom_site_label
_atom_site_type_symbol
_atom_site_fract_x
_atom_site_fract_y
_atom_site_fract_z
Y1 Y 0.0000 0.0000 0.2505
Ni1 Ni 0.0000 0.0000 0.5000
P1 P 0.0000 0.0000 0.0000
```

***

Compound: YNi4P2
Source: the Alexandria database
Functional: GGA-PBEsol
Structure: relaxed

Total energy, eV per atom: -7.05

Geometry as CIF:
```
data_YNi4P2
_chemical_formula_sum 'Y2 Ni8 P4'
_space_group_name_H-M_alt 'P 42/m n m'
_space_group_IT_number 136
_space_group_name_Hall '-P 4n 2n'
_cell_length_a 6.997
_cell_length_b 6.997
_cell_length_c 3.566
_cell_angle_alpha 90.00
_cell_angle_beta 90.00
_cell_angle_gamma 90.00
loop_
_atom_site_label
_atom_site_type_symbol
_atom_site_fract_x
_atom_site_fract_y
_atom_site_fract_z
Y1 Y 0.000 0.000 0.000
Ni1 Ni 0.085 0.337 0.500
P1 P 0.221 0.779 0.500
```

***

Compound: YNiP2
Source: the Alexandria database
Functional: GGA-PBEsol
Structure: relaxed

Total energy, eV per atom: -6.78

Geometry as CIF:
```
data_YNiP2
_chemical_formula_sum 'Y2 Ni2 P4'
_space_group_name_H-M_alt 'C m m m'
_space_group_IT_number 65
_space_group_name_Hall '-C 2 2'
_cell_length_a 3.816
_cell_length_b 5.717
_cell_length_c 6.100
_cell_angle_alpha 90.00
_cell_angle_beta 90.00
_cell_angle_gamma 90.00
loop_
_atom_site_label
_atom_site_type_symbol
_atom_site_fract_x
_atom_site_fract_y
_atom_site_fract_z
Y1 Y 0.000 0.000 0.000
Ni1 Ni 0.000 0.000 0.500
P1 P 0.000 0.500 0.308
```